[1]
# AlRuAu2 | Alexandria | PBE | relaxed
# **Energy of formation from the pure elements**: 29 kJ/mol of formula units
# **Total DFT energy (no corrections)**: -0.1771 Ha/atom
data_AlRuAu2
_chemical_formula_sum 'Al1 Ru1 Au2'
_symmetry_space_group_name_H-M 'P 4/m m m'
_symmetry_Int_Tables_number 123
_symmetry_space_group_name_Hall '-P 4 2'
_cell_length_a 3.0364
_cell_length_b 3.0364
_cell_length_c 6.9850
_cell_angle_alpha 90.00
_cell_angle_beta 90.00
_cell_angle_gamma 90.00
loop_
_atom_site_label
_atom_site_fract_x
_atom_site_fract_y
_atom_site_fract_z
Al1 0.0000 0.0000 0.0000
Ru1 0.0000 0.0000 0.5000
Au1 0.5000 0.5000 0.2318

[2]
# AlRu2Au | Alexandria | PBE | relaxed
# **Energy of formation from the pure elements**: 41 kJ/mol of formula units
# **Total DFT energy (no corrections)**: -0.2310 Ha/atom
data_AlRu2Au
_chemical_formula_sum 'Al2 Ru4 Au2'
_symmetry_space_group_name_H-M 'C m m m'
_symmetry_Int_Tables_number 65
_symmetry_space_group_name_Hall '-C 2 2'
_cell_length_a 2.8969
_cell_length_b 4.6726
_cell_length_c 8.9838
_cell_angle_alpha 90.00
_cell_angle_beta 90.00
_cell_angle_gamma 90.00
loop_
_atom_site_label
_atom_site_fract_x
_atom_site_fract_y
_atom_site_fract_z
Al1 0.0000 0.0000 0.0000
Ru1 0.0000 0.5000 0.2266
Au1 0.0000 0.0000 0.5000

[3]
# AlRu2Au | Alexandria | PBE | relaxed
# **Energy of formation from the pure elements**: 136 kJ/mol of formula units
# **Total DFT energy (no corrections)**: -0.2220 Ha/atom
data_AlRu2Au
_chemical_formula_sum 'Al4 Ru8 Au4'
_symmetry_space_group_name_H-M 'I -4 2 d'
_symmetry_Int_Tables_number 122
_symmetry_space_group_name_Hall 'I -4 2bw'
_cell_length_a 3.7513
_cell_length_b 3.7513
_cell_length_c 18.9206
_cell_angle_alpha 90.00
_cell_angle_beta 90.00
_cell_angle_gamma 90.00
loop_
_atom_site_label
_atom_site_fract_x
_atom_site_fract_y
_atom_site_fract_z
Al1 0.0000 0.0000 0.0000
Ru1 0.2003 0.2500 0.1250
Au1 0.0000 0.0000 0.5000